Here is an optimized crystal structure of La6PrEr2Sc from the Alexandria database. Energies are from PBE-GGA.

Geometry as POSCAR:
```
La6PrEr2Sc
1.0
5.364 -3.721 0.000
5.364 3.721 0.000
-2.270 0.000 8.802
La Pr Er Sc
6 1 2 1
Direct
0.086 0.645 0.715
0.335 0.335 0.053
0.355 0.914 0.285
0.645 0.086 0.715
0.665 0.665 0.947
0.914 0.355 0.285
0.500 0.500 0.500
0.121 0.121 0.648
0.879 0.879 0.352
0.000 0.000 0.000
```

Crystal system ... monoclinic
Electronic total energy ... -4.793 eV per atom

Here is an optimized crystal structure of La2PrEr5Sc from the Alexandria database. Energies are from PBE-GGA.

Geometry as POSCAR:
```
La2PrEr5Sc
1.0
2.803 -9.851 0.000
2.803 9.851 0.000
0.000 0.000 10.526
La Pr Er Sc
4 2 10 2
Direct
0.114 0.886 0.500
0.116 0.884 0.919
0.884 0.116 0.419
0.886 0.114 0.000
0.414 0.586 0.648
0.586 0.414 0.148
0.016 0.984 0.207
0.277 0.723 0.508
0.296 0.704 0.891
0.376 0.624 0.205
0.483 0.517 0.927
0.517 0.483 0.427
0.624 0.376 0.705
0.704 0.296 0.391
0.723 0.277 0.008
0.984 0.016 0.707
0.199 0.801 0.200
0.801 0.199 0.700
```

Crystal system ... orthorhombic
Electronic total energy ... -4.704 eV per atom

Here is an optimized crystal structure of La4PrEr3Se8 from the Alexandria database. Energies are from PBE-GGA.

Geometry as POSCAR:
```
La4PrEr3Se8
1.0
4.185 2.416 6.937
-4.185 2.416 6.937
0.000 -4.832 6.937
La Pr Er Se
4 1 3 8
Direct
0.000 0.000 0.000
0.000 0.500 0.500
0.500 0.000 0.500
0.500 0.500 0.000
0.500 0.500 0.500
0.000 0.000 0.500
0.000 0.500 0.000
0.500 0.000 0.000
0.235 0.749 0.749
0.242 0.242 0.242
0.251 0.251 0.765
0.251 0.765 0.251
0.749 0.235 0.749
0.749 0.749 0.235
0.758 0.758 0.758
0.765 0.251 0.251
```

Crystal system ... trigonal
Raw formation energy ... -1.8664 eV/atom

Here is an optimized crystal structure of La3Pr4ErSe8 from the Alexandria database. Energies are from PBE-GGA.

Geometry as POSCAR:
```
La3Pr4ErSe8
1.0
4.260 2.460 6.947
-4.260 2.460 6.947
0.000 -4.919 6.947
La Pr Er Se
3 4 1 8
Direct
0.000 0.500 0.500
0.500 0.000 0.500
0.500 0.500 0.000
0.000 0.000 0.500
0.000 0.500 0.000
0.500 0.000 0.000
0.500 0.500 0.500
0.000 0.000 0.000
0.241 0.758 0.758
0.242 0.242 0.759
0.242 0.759 0.242
0.250 0.250 0.250
0.750 0.750 0.750
0.758 0.241 0.758
0.758 0.758 0.241
0.759 0.242 0.242
```

Crystal system ... trigonal
Raw formation energy ... -1.8798 eV/atom

Let's list V in order: 35.1 32.3 26.3 27.3 Å³ per atom.